(1)
{"formula": "Sr2InRu", "functional": "PBE", "state": "optimized geometry", "formation_enthalpy_0k_mev_per_atom": 360.1, "e_tot_ev_per_atom": -3.48, "spacegroup": "R-3m, No. 166", "cell": [[10.262, -0.008, -0.005], [9.597, 3.633, -0.005], [9.597, 1.752, 3.183]], "species": ["Sr", "Sr", "Ru", "In"], "fractional_positions": [[0.014, 0.014, 0.014], [0.486, 0.486, 0.486], [0.750, 0.750, 0.750], [0.250, 0.250, 0.250]]}

***

(2)
{"formula": "SrInRu4", "functional": "PBE", "state": "optimized geometry", "formation_enthalpy_0k_mev_per_atom": 335.2, "e_tot_ev_per_atom": -6.59, "spacegroup": "F-43m, No. 216", "cell": [[2.796, 0.089, 4.563], [2.854, 4.336, 1.306], [-1.581, 3.125, 4.048]], "species": ["Sr", "Ru", "Ru", "Ru", "Ru", "In"], "fractional_positions": [[0.750, 0.750, 0.750], [0.374, 0.374, 0.878], [0.374, 0.878, 0.374], [0.374, 0.374, 0.374], [0.878, 0.374, 0.374], [0.000, 0.000, 0.000]]}

***

(3)
{"formula": "Sr2InRu", "functional": "PBE", "state": "optimized geometry", "formation_enthalpy_0k_mev_per_atom": 194.7, "e_tot_ev_per_atom": -3.65, "spacegroup": "P2/m, No. 10", "cell": [[-3.138, 1.807, 0.858], [-2.001, -2.997, -1.006], [-1.555, -5.819, 6.566]], "species": ["Ru", "In", "Sr", "Sr"], "fractional_positions": [[0.500, 0.750, 0.750], [0.500, 0.250, 0.250], [0.000, 0.464, 0.536], [0.000, 0.036, 0.964]]}

***

(4)
{"formula": "Sr2InRu", "functional": "PBE", "state": "optimized geometry", "formation_enthalpy_0k_mev_per_atom": 37.6, "e_tot_ev_per_atom": -3.81, "spacegroup": "Amm2, No. 38", "cell": [[4.482, 0.000, 0.000], [0.000, 4.745, 0.005], [0.000, 2.367, 5.909]], "species": ["Sr", "Sr", "Ru", "In"], "fractional_positions": [[0.500, 0.265, 0.345], [0.000, 0.984, 0.907], [0.500, 0.566, 0.744], [0.000, 0.686, 0.503]]}

***

(5)
{"formula": "SrInRu", "functional": "PBE", "state": "optimized geometry", "formation_enthalpy_0k_mev_per_atom": 274.5, "e_tot_ev_per_atom": -4.29, "spacegroup": "F-43m, No. 216", "cell": [[4.808, 0.000, 0.000], [2.404, 4.164, 0.000], [2.404, 1.388, 3.926]], "species": ["In", "Sr", "Ru"], "fractional_positions": [[0.500, 0.500, 0.500], [0.000, 0.000, 0.000], [0.750, 0.750, 0.750]]}

***

(6)
{"formula": "Sr2InRu", "functional": "PBE", "state": "optimized geometry", "formation_enthalpy_0k_mev_per_atom": 174.4, "e_tot_ev_per_atom": -3.67, "spacegroup": "I-42d, No. 122", "cell": [[-6.453, -8.027, 3.231], [5.449, -6.901, -6.261], [1.132, -7.978, 0.474]], "species": ["Sr", "Sr", "Sr", "Sr", "Ru", "Ru", "In", "In"], "fractional_positions": [[0.875, 0.712, 0.750], [0.375, 0.538, 0.750], [0.462, 0.125, 0.250], [0.288, 0.625, 0.250], [0.250, 0.750, 0.500], [0.500, 0.500, 0.000], [0.750, 0.250, 0.500], [0.000, 0.000, 0.000]]}

***

(7)
{"formula": "Sr2InRu", "functional": "PBE", "state": "optimized geometry", "formation_enthalpy_0k_mev_per_atom": 268.6, "e_tot_ev_per_atom": -3.58, "spacegroup": "P4/mmm, No. 123", "cell": [[-5.044, -0.043, 1.332], [-0.062, -5.201, -0.397], [1.044, -0.314, 3.944]], "species": ["Sr", "Sr", "In", "Ru"], "fractional_positions": [[0.500, 0.500, 0.000], [0.000, 0.000, 0.000], [0.500, 0.000, 0.500], [0.000, 0.500, 0.500]]}

***

(8)
{"formula": "Sr2InRu", "functional": "PBE", "state": "optimized geometry", "formation_enthalpy_0k_mev_per_atom": 271.0, "e_tot_ev_per_atom": -3.57, "spacegroup": "I-4m2, No. 119", "cell": [[5.586, -0.062, 0.000], [1.384, 5.412, 0.000], [-3.485, -2.675, 3.450]], "species": ["In", "Sr", "Sr", "Ru"], "fractional_positions": [[0.500, 0.500, 0.000], [0.250, 0.750, 0.500], [0.000, 0.000, 0.000], [0.750, 0.250, 0.500]]}